(1)
# KMg2Ir

KMg2Ir after structural relaxation (PBE-GGA, Alexandria via LeMat-Bulk). Values from VASP.

Geometry as Quantum ESPRESSO input:
```
&SYSTEM
  ibrav = 0, nat = 4, ntyp = 3
/
ATOMIC_SPECIES
K 39.10 K.upf
Mg 24.30 Mg.upf
Ir 192.22 Ir.upf
CELL_PARAMETERS angstrom
3.2742 0.0000 0.0000
0.0000 3.2816 0.0000
-0.0580 0.0000 9.2619
ATOMIC_POSITIONS crystal
K 0.0000 0.0000 0.0000
Mg 0.4974 0.5000 0.3471
Mg 0.5026 0.5000 0.6529
Ir 0.0000 0.0000 0.5000
```

Electronic total energy = -13.20 eV/cell

=====

(2)
# KMg2Ir

KMg2Ir after structural relaxation (PBE-GGA, Alexandria via LeMat-Bulk). Values from VASP.

Geometry as Quantum ESPRESSO input:
```
&SYSTEM
  ibrav = 0, nat = 4, ntyp = 3
/
ATOMIC_SPECIES
K 39.10 K.upf
Mg 24.30 Mg.upf
Ir 192.22 Ir.upf
CELL_PARAMETERS angstrom
4.6749 -1.5867 0.0000
4.6749 1.5867 0.0000
-2.3715 0.0000 7.7646
ATOMIC_POSITIONS crystal
K 0.0000 0.0000 0.0000
Mg 0.1655 0.1655 0.6188
Mg 0.3709 0.3709 0.3710
Ir 0.6444 0.6444 0.3629
```

Electronic total energy = -12.60 eV/cell

=====

no.,energy of formation (eV/atom)
1,-0.014
2,0.136